{
  "formula": "LaMnH2O",
  "functional": "GGA+U",
  "state": "relaxed",
  "magnetic_moment_mub_per_atom": 0.8227,
  "total_energy_ev_per_atom": -5.832,
  "lattice_angstrom": [[3.682, 0.000, 0.000], [0.000, 3.682, 0.000], [0.000, 0.000, 4.415]],
  "species": ["H", "Mn", "La", "H", "O"],
  "frac_coords": [[0.500, 0.000, 0.000], [0.000, 0.000, 0.000], [0.500, 0.500, 0.500], [0.000, 0.500, 0.000], [0.000, 0.000, 0.500]]
}